First-principles (PBE) data for a relaxed Li2Ag2As crystal, as listed in Alexandria.

Unit cell a=6.296 b=6.296 c=4.121 alpha=90.00 beta=90.00 gamma=90.00
Fractional coordinates of all 10 atoms:
Ag 0.167 0.667 0.500
Ag 0.333 0.167 0.500
Ag 0.667 0.833 0.500
Ag 0.833 0.333 0.500
Li 0.861 0.639 0.000
Li 0.139 0.361 0.000
Li 0.361 0.861 0.000
Li 0.639 0.139 0.000
As 0.500 0.500 0.000
As 0.000 0.000 0.000

Calculated values
Total magnetic moment (μB/atom): 0.00
E (eV/f.u.): -14.94
Energy relative to the elements (kcal/mol of atoms): -3.52
Energy relative to the lowest polymorph listed for this composition (meV per atom): 11.0